# 1
Material: CrIn2Ir
Method: DFT, PBE
State: optimized geometry

Lattice parameters (Å, degrees): 2.9478 2.9478 8.4315 90.00 90.00 90.00
Element x y z (fractional)
Cr 0.5000 0.5000 0.7148
In 0.5000 0.5000 0.2929
In 0.0000 0.0000 0.9501
Ir 0.0000 0.0000 0.5422

Values from the calculation:
The formation enthalpy at 0 K comes out at 0.129 eV/atom. As for the symmetry: P4mm (99). The value obtained for the total moment is 1.15 μB per cell. For the electronic total energy, the calculation gives -5.86 eV per atom. The excess energy over the best structure of this formula in the dataset is 60 meV/atom.

# 2
Material: Ba2NaIr
Method: DFT, PBE
State: optimized geometry

Lattice parameters (Å, degrees): 9.5697 9.5697 7.6502 51.28 51.28 90.00
Element x y z (fractional)
Ba 0.3750 0.2806 0.7500
Ba 0.0306 0.6250 0.2500
Ba 0.8750 0.9694 0.7500
Ba 0.7194 0.1250 0.2500
Na 0.2500 0.7500 0.5000
Na 0.5000 0.5000 0.0000
Ir 0.0000 0.0000 0.0000
Ir 0.7500 0.2500 0.5000

Values from the calculation:
The formation enthalpy at 0 K comes out at 0.172 eV/atom. As for the symmetry: I-42d (122). The value obtained for the total moment is 0.00 μB per cell. For the electronic total energy, the calculation gives -3.33 eV per atom. The excess energy over the best structure of this formula in the dataset is 262 meV/atom.

# 3
Material: TiWS2N
Method: DFT, PBE
State: optimized geometry

Lattice parameters (Å, degrees): 4.7895 4.7895 3.7852 90.00 90.00 90.00
Element x y z (fractional)
S 0.5000 0.0000 0.0000
S 0.0000 0.5000 0.0000
Ti 0.5000 0.5000 0.5000
W 0.0000 0.0000 0.0000
N 0.0000 0.0000 0.5000

Values from the calculation:
As for the symmetry: P4/mmm (123). The value obtained for the total moment is 0.31 μB per cell. Its formation energy without anion corrections is 0.097 eV/atom. For the electronic total energy, the calculation gives -7.39 eV per atom. The excess energy over the best structure of this formula in the dataset is 0 meV/atom.

# 4
Material: Ba3TmSn8
Method: DFT, PBE
State: optimized geometry

Lattice parameters (Å, degrees): 8.5099 8.5099 8.5099 106.21 111.13 111.13
Element x y z (fractional)
Sn 0.5663 0.7014 0.7014
Sn 0.6935 0.0583 0.0583
Sn 0.0000 0.9417 0.6352
Sn 0.4337 0.1351 0.1351
Sn 0.0000 0.2986 0.8649
Sn 0.0000 0.6352 0.9417
Sn 0.3065 0.3648 0.3648
Sn 0.0000 0.8649 0.2986
Ba 0.5000 0.7500 0.2500
Ba 0.5000 0.2500 0.7500
Ba 0.0000 0.5000 0.5000
Tm 0.0000 0.0000 0.0000

Values from the calculation:
The formation enthalpy at 0 K comes out at -0.217 eV/atom. As for the symmetry: I-42m (121). The value obtained for the total moment is 0.00 μB per cell. For the electronic total energy, the calculation gives -3.74 eV per atom.

# 5
Material: Ba2AuSe
Method: DFT, PBE
State: optimized geometry

Lattice parameters (Å, degrees): 6.5605 6.5605 5.1907 90.00 90.00 38.72
Element x y z (fractional)
Au 0.2661 0.2661 0.1253
Ba 0.0000 0.0000 0.1248
Ba 0.7511 0.7511 0.6252
Se 0.4828 0.4828 0.6247

Values from the calculation:
As for the symmetry: Amm2 (38). The value obtained for the total moment is 0.00 μB per cell. Its formation energy without anion corrections is -1.230 eV/atom. For the electronic total energy, the calculation gives -3.88 eV per atom.

# 6
Material: Pa3Ga2Ni9
Method: DFT, PBE
State: optimized geometry

Lattice parameters (Å, degrees): 3.6141 7.9676 7.9676 71.57 76.89 76.89
Element x y z (fractional)
Pa 0.2958 0.7042 0.7042
Pa 0.0000 0.0000 0.0000
Pa 0.7042 0.2958 0.2958
Ni 0.3463 0.2816 0.0257
Ni 0.8552 0.8435 0.4460
Ni 0.8552 0.4460 0.8435
Ni 0.6537 0.7184 0.9743
Ni 0.6537 0.9743 0.7184
Ni 0.1448 0.5540 0.1565
Ni 0.1448 0.1565 0.5540
Ni 0.3463 0.0257 0.2816
Ni 0.0000 0.5000 0.5000
Ga 0.5000 0.6992 0.3008
Ga 0.5000 0.3008 0.6992

Values from the calculation:
The formation enthalpy at 0 K comes out at -0.393 eV/atom. As for the symmetry: Immm (71). The value obtained for the total moment is 0.00 μB per cell. For the electronic total energy, the calculation gives -6.58 eV per atom.

# 7
Material: NaU3O9
Method: DFT, PBE
State: optimized geometry

Lattice parameters (Å, degrees): 4.1838 8.0653 8.0653 120.00 90.00 90.00
Element x y z (fractional)
U 0.5000 0.5000 0.5000
U 0.5000 0.5000 0.0000
U 0.5000 0.0000 0.5000
O 0.5000 0.7941 0.2059
O 0.0000 0.5000 0.0000
O 0.5000 0.2059 0.7941
O 0.5000 0.7941 0.5881
O 0.5000 0.4119 0.2059
O 0.5000 0.5881 0.7941
O 0.0000 0.0000 0.5000
O 0.0000 0.5000 0.5000
O 0.5000 0.2059 0.4119
Na 0.0000 0.0000 0.0000

Values from the calculation:
As for the symmetry: P6/mmm (191). The value obtained for the total moment is 1.01 μB per cell. Its formation energy without anion corrections is -2.957 eV/atom. For the electronic total energy, the calculation gives -9.10 eV per atom.

# 8
Material: Li2PbSe
Method: DFT, PBE
State: optimized geometry

Lattice parameters (Å, degrees): 6.4163 6.4163 3.9330 72.18 72.18 33.02
Element x y z (fractional)
Li 0.7532 0.7532 0.7465
Li 0.9283 0.9283 0.0719
Se 0.2773 0.2773 0.2224
Pb 0.5412 0.5412 0.4592

Values from the calculation:
As for the symmetry: Imm2 (44). The value obtained for the total moment is 0.00 μB per cell. Its formation energy without anion corrections is -0.605 eV/atom. For the electronic total energy, the calculation gives -3.36 eV per atom.

Question: Which value of electronic total energy does entry 6 give?
Answer: -6.58 eV per atom